Computed, not measured: CoTePdO after structural relaxation at the PBE with a Hubbard U level of DFT.

a = 5.786 Å, b = 8.101 Å, c = 5.661 Å
α = 90.00°, β = 90.00°, γ = 90.00°
Sites, in units of the cell vectors:
Pd  0.036  0.679  0.389
Te  0.984  0.645  0.883
Co  0.829  0.944  0.137
Pd  0.464  0.679  0.889
Co  0.171  0.056  0.637
O  0.601  0.050  0.341
O  0.399  0.950  0.841
Co  0.329  0.056  0.137
O  0.101  0.950  0.341
Pd  0.964  0.321  0.889
O  0.899  0.050  0.841
Co  0.671  0.944  0.637
Te  0.516  0.645  0.383
Te  0.484  0.355  0.883
Te  0.016  0.355  0.383
Pd  0.536  0.321  0.389

Its space group is Pca2_1. The value obtained for the volume is 16.6 Å³ per atom. The value obtained for the total moment is 0.705 μB per atom. As for the total energy: -5.022 eV/atom.